[1]
Here is a relaxed structure of CsRb2AcBr6 from the Alexandria database. Energies are from GGA-PBE. Values from VASP.

Values from the calculation:
total energy	-3.585	eV per atom
DOS(E_F)	0.00	states/eV/f.u.
V	927	Å³/cell
size of the total moment	0.000	μB/atom
E_form (uncorrected)	-1.8918	eV/atom

```
&SYSTEM
  ibrav = 0, nat = 20, ntyp = 4
/
ATOMIC_SPECIES
Cs 132.91 Cs.upf
Rb 85.47 Rb.upf
Ac 227.00 Ac.upf
Br 79.90 Br.upf
ATOMIC_POSITIONS angstrom
Cs -3.906 1.576 -0.482
Cs -1.871 -1.779 7.089
Rb -3.555 -6.036 5.647
Rb -6.328 0.444 9.770
Rb -7.998 5.631 7.567
Rb -5.225 -0.849 3.445
Ac -4.014 3.719 5.150
Ac -1.762 -3.921 1.458
Br -4.644 -4.120 2.368
Br -9.191 -1.588 7.959
Br -6.909 3.715 10.847
Br -2.362 1.183 5.256
Br -5.298 -2.898 6.370
Br -9.470 0.469 11.650
Br -6.255 2.493 6.845
Br -2.083 -0.874 1.565
Br -8.730 -0.908 3.424
Br -6.126 -2.996 10.523
Br -2.822 0.503 9.791
Br -5.427 2.590 2.692
CELL_PARAMETERS angstrom
-7.811 3.152 -0.963
-3.525 -7.843 2.916
-0.217 4.285 11.262
```

***

[2]
Here is a relaxed structure of CsAcSBr2 from the Alexandria database. Energies are from GGA-PBE. Values from VASP.

Values from the calculation:
total energy	-4.320	eV per atom
DOS(E_F)	0.00	states/eV/f.u.
V	217	Å³/cell
size of the total moment	0.000	μB/atom
E_form (uncorrected)	-1.8335	eV/atom

```
&SYSTEM
  ibrav = 0, nat = 5, ntyp = 4
/
ATOMIC_SPECIES
Cs 132.91 Cs.upf
Ac 227.00 Ac.upf
S 32.06 S.upf
Br 79.90 Br.upf
ATOMIC_POSITIONS angstrom
Cs -2.179 -3.541 3.144
Ac -0.002 0.000 0.001
S -0.566 -1.443 6.624
Br -4.212 -0.315 4.886
Br -3.768 -4.127 6.979
CELL_PARAMETERS angstrom
-1.168 -5.910 -1.387
2.056 -1.714 5.573
-5.242 0.543 2.101
```

***

[3]
Here is a relaxed structure of CsAcSeBr from the Alexandria database. Energies are from GGA-PBE. Values from VASP.

Values from the calculation:
total energy	-4.082	eV per atom
DOS(E_F)	2.55	states/eV/f.u.
V	157	Å³/cell
size of the total moment	0.000	μB/atom
E_form (uncorrected)	-1.5517	eV/atom

```
&SYSTEM
  ibrav = 0, nat = 4, ntyp = 4
/
ATOMIC_SPECIES
Cs 132.91 Cs.upf
Ac 227.00 Ac.upf
Se 78.96 Se.upf
Br 79.90 Br.upf
ATOMIC_POSITIONS angstrom
Cs 0.423 -0.286 5.748
Ac -1.823 3.620 0.849
Se -1.825 1.015 8.096
Br 2.673 1.020 2.887
CELL_PARAMETERS angstrom
4.500 0.003 -0.002
-2.247 3.904 0.002
-2.255 -1.302 8.926
```

***

[4]
Here is a relaxed structure of CsAcSnBr6 from the Alexandria database. Energies are from GGA-PBE. Values from VASP.

Values from the calculation:
total energy	-3.621	eV per atom
DOS(E_F)	0.00	states/eV/f.u.
V	960	Å³/cell
size of the total moment	0.000	μB/atom
E_form (uncorrected)	-1.5100	eV/atom

```
&SYSTEM
  ibrav = 0, nat = 18, ntyp = 4
/
ATOMIC_SPECIES
Cs 132.91 Cs.upf
Ac 227.00 Ac.upf
Sn 118.71 Sn.upf
Br 79.90 Br.upf
ATOMIC_POSITIONS angstrom
Cs 5.585 2.715 4.503
Cs 0.000 2.715 3.408
Ac 2.792 -2.715 3.956
Ac -2.792 -2.715 3.956
Sn 5.585 5.431 0.000
Sn 5.585 0.000 0.000
Br 0.000 2.715 6.903
Br 5.585 -2.715 5.223
Br 7.725 -0.384 2.111
Br 3.445 5.815 2.111
Br 3.445 -0.384 2.111
Br 7.725 5.815 2.111
Br 5.585 2.715 1.008
Br 0.000 8.146 2.689
Br -2.140 5.815 5.800
Br 2.140 -0.384 5.800
Br 2.140 5.815 5.800
Br -2.140 -0.384 5.800
CELL_PARAMETERS angstrom
11.170 0.000 0.000
0.000 10.861 0.000
-5.585 -5.431 7.911
```

***

[5]
Here is a relaxed structure of Cs2SrAcBr6 from the Alexandria database. Energies are from GGA-PBE. Values from VASP.

Values from the calculation:
total energy	-3.556	eV per atom
DOS(E_F)	3.78	states/eV/f.u.
V	909	Å³/cell
size of the total moment	0.061	μB/atom
E_form (uncorrected)	-1.8027	eV/atom

```
&SYSTEM
  ibrav = 0, nat = 20, ntyp = 4
/
ATOMIC_SPECIES
Cs 132.91 Cs.upf
Sr 87.62 Sr.upf
Ac 227.00 Ac.upf
Br 79.90 Br.upf
ATOMIC_POSITIONS angstrom
Cs -1.884 -5.832 -6.190
Cs -5.646 -7.024 1.849
Cs -6.436 -9.803 -4.052
Cs -1.542 -3.444 -0.077
Sr -5.963 -4.236 -2.306
Sr 2.537 -5.040 -3.961
Ac -1.845 -8.708 -1.844
Ac -1.581 -0.568 -4.423
Br -3.859 -2.236 -3.231
Br -8.182 -6.008 -1.201
Br 0.432 -7.040 -3.036
Br -3.900 -10.819 -1.002
Br -5.504 -3.232 0.538
Br -8.041 -2.025 -2.623
Br -3.889 -6.402 -1.912
Br -6.477 -5.170 -5.137
Br -1.859 -1.770 -7.247
Br 0.462 -2.874 -4.355
Br 2.077 -6.044 -6.805
Br -0.295 -4.915 -9.760
CELL_PARAMETERS angstrom
-4.909 2.336 -6.116
3.356 -6.668 -5.241
-8.656 -7.551 4.064
```

***

[6]
Here is a relaxed structure of Cs2AcTe2Br2 from the Alexandria database. Energies are from GGA-PBE. Values from VASP.

Values from the calculation:
total energy	-3.618	eV per atom
DOS(E_F)	11.83	states/eV/f.u.
V	382	Å³/cell
size of the total moment	0.001	μB/atom
E_form (uncorrected)	-1.4120	eV/atom

```
&SYSTEM
  ibrav = 0, nat = 7, ntyp = 4
/
ATOMIC_SPECIES
Cs 132.91 Cs.upf
Ac 227.00 Ac.upf
Te 127.60 Te.upf
Br 79.90 Br.upf
ATOMIC_POSITIONS angstrom
Cs -4.498 2.222 4.338
Cs -5.118 -0.889 -0.789
Ac 0.000 0.000 0.000
Te -1.500 -2.831 -0.105
Te -1.817 1.052 -2.422
Br -2.079 1.027 2.006
Br -7.536 0.306 1.544
CELL_PARAMETERS angstrom
-3.634 2.104 -4.844
-2.999 -5.662 -0.210
-2.983 4.891 8.603
```

***

[7]
Here is a relaxed structure of CsAc2TlBr8 from the Alexandria database. Energies are from GGA-PBE. Values from VASP.

Values from the calculation:
total energy	-3.840	eV per atom
DOS(E_F)	0.00	states/eV/f.u.
V	573	Å³/cell
size of the total moment	0.000	μB/atom
E_form (uncorrected)	-1.7716	eV/atom

```
&SYSTEM
  ibrav = 0, nat = 12, ntyp = 4
/
ATOMIC_SPECIES
Cs 132.91 Cs.upf
Ac 227.00 Ac.upf
Tl 204.38 Tl.upf
Br 79.90 Br.upf
ATOMIC_POSITIONS angstrom
Cs 2.361 3.893 1.551
Ac 2.900 4.158 7.626
Ac 0.501 0.203 6.050
Tl 0.000 0.000 0.000
Br 3.033 -1.196 5.326
Br -0.554 -2.511 7.130
Br -2.151 1.402 6.697
Br 0.368 5.557 8.349
Br 3.956 6.872 6.545
Br 5.553 2.959 6.978
Br 1.859 1.383 8.598
Br 1.542 2.978 5.077
CELL_PARAMETERS angstrom
-5.263 0.929 5.666
3.943 -4.353 4.908
4.722 7.786 3.102
```

***

[8]
Here is a relaxed structure of CsAcTl2Br6 from the Alexandria database. Energies are from GGA-PBE. Values from VASP.

Values from the calculation:
total energy	-3.503	eV per atom
DOS(E_F)	0.00	states/eV/f.u.
V	464	Å³/cell
size of the total moment	0.000	μB/atom
E_form (uncorrected)	-1.5296	eV/atom

```
&SYSTEM
  ibrav = 0, nat = 10, ntyp = 4
/
ATOMIC_SPECIES
Cs 132.91 Cs.upf
Ac 227.00 Ac.upf
Tl 204.38 Tl.upf
Br 79.90 Br.upf
ATOMIC_POSITIONS angstrom
Cs -4.171 2.479 3.763
Ac 0.066 4.926 7.172
Tl 0.064 4.925 2.708
Tl 0.064 0.033 6.690
Br -2.246 5.165 5.169
Br 2.691 0.201 1.245
Br 3.134 5.013 1.243
Br -1.394 2.222 1.247
Br 1.016 2.804 5.170
Br -2.810 -0.531 5.171
CELL_PARAMETERS angstrom
8.474 0.001 -0.003
-4.236 7.338 0.001
-4.237 -2.445 7.466
```

***

[9]
Here is a relaxed structure of Ac2CuBr from the Alexandria database. Energies are from GGA-PBE. Values from VASP.

Values from the calculation:
total energy	-4.177	eV per atom
DOS(E_F)	3.06	states/eV/f.u.
V	135	Å³/cell
size of the total moment	0.000	μB/atom
E_form (uncorrected)	-0.6803	eV/atom

```
&SYSTEM
  ibrav = 0, nat = 4, ntyp = 3
/
ATOMIC_SPECIES
Ac 227.00 Ac.upf
Cu 63.55 Cu.upf
Br 79.90 Br.upf
ATOMIC_POSITIONS angstrom
Ac 2.233 1.289 1.663
Ac 6.699 3.868 6.136
Cu 0.000 0.000 0.000
Br 4.466 2.578 3.900
CELL_PARAMETERS angstrom
4.466 0.000 0.000
2.233 3.868 0.000
2.233 1.289 7.799
```

***

[10]
Here is a relaxed structure of AcCuBr2 from the Alexandria database. Energies are from GGA-PBE. Values from VASP.

Values from the calculation:
total energy	-3.416	eV per atom
DOS(E_F)	2.10	states/eV/f.u.
V	127	Å³/cell
size of the total moment	0.000	μB/atom
E_form (uncorrected)	-0.5284	eV/atom

```
&SYSTEM
  ibrav = 0, nat = 4, ntyp = 3
/
ATOMIC_SPECIES
Ac 227.00 Ac.upf
Cu 63.55 Cu.upf
Br 79.90 Br.upf
ATOMIC_POSITIONS angstrom
Ac 0.000 0.000 0.000
Cu 4.075 2.353 4.427
Br 2.038 1.176 5.809
Br 6.113 3.529 3.045
CELL_PARAMETERS angstrom
4.075 0.000 0.000
2.038 3.529 0.000
2.038 1.176 8.854
```